The following is a GGA+U calculation of a relaxed structure of CrO, from Alexandria.

Structure (CIF):
```
data_CrO
_chemical_formula_sum 'Cr6 O6'
_symmetry_space_group_name_H-M 'P m m a'
_symmetry_Int_Tables_number 51
_cell_length_a 16.338
_cell_length_b 3.004
_cell_length_c 3.150
_cell_angle_alpha 90.00
_cell_angle_beta 90.00
_cell_angle_gamma 90.00
loop_
_symmetry_equiv_pos_as_xyz
'x,y,z'
'-x,-y,-z'
'-x+1/2,-y,z'
'x+1/2,y,-z'
'x+1/2,-y,-z'
'-x+1/2,y,z'
'-x,y,-z'
'x,-y,z'
loop_
_atom_site_label
_atom_site_type_symbol
_atom_site_fract_x
_atom_site_fract_y
_atom_site_fract_z
_atom_site_occupancy
Cr1 Cr 0.084 0.000 0.146 1
Cr2 Cr 0.250 0.500 0.721 1
O1 O 0.000 0.500 0.000 1
O2 O 0.168 0.500 0.222 1
```

Output
* electronic total energy: -92.83 eV for the cell shown
* D(E_F): 0.7 states/eV per cell